DFT (PBE-GGA) results for Ce2Er3TmTe6 after structural relaxation.

SG = C2/m
Calculated density = 8.0 Mg/m³
Size of the total moment = 2.5 μB/f.u.
Raw formation energy = -15.18 eV per formula unit

Lattice parameters (Å, degrees): 4.328 8.841 9.811 103.91 102.74 90.00
Last column: magnetic moment on the atom in μB.
Fractional coordinates of all 12 atoms:
Te 0.662 0.592 0.325  -0.01
Te 0.004 0.754 0.008  0.00
Te 0.336 0.927 0.671  -0.01
Te 0.996 0.246 0.992  0.00
Te 0.664 0.073 0.329  -0.01
Te 0.338 0.408 0.675  -0.01
Ce 0.832 0.663 0.663  0.99
Ce 0.168 0.337 0.337  0.99
Er 0.500 0.500 0.000  0.01
Er 0.830 0.166 0.659  0.01
Er 0.170 0.834 0.341  0.01
Tm 0.500 0.000 0.000  0.04